1.
RePtAu2, optimized geometry, DFT PBE; total DFT energy (no corrections) = -90.8 eV per cell; energy of formation from the pure elements = 583 meV per atom; crystal system = cubic; ΔE to the lowest computed polymorph = 463.8 meV/atom
1.0
6.424 0.000 0.000
0.000 6.424 0.000
0.000 0.000 6.424
Re Pt Au
4 4 8
direct
0.000 0.000 0.000
0.000 0.500 0.500
0.500 0.000 0.500
0.500 0.500 0.000
0.000 0.000 0.500
0.000 0.500 0.000
0.500 0.000 0.000
0.500 0.500 0.500
0.250 0.250 0.250
0.250 0.250 0.750
0.250 0.750 0.250
0.250 0.750 0.750
0.750 0.250 0.250
0.750 0.250 0.750
0.750 0.750 0.250
0.750 0.750 0.750

2.
HgHI2O, optimized geometry, DFT PBE; total DFT energy (no corrections) = -10.5 eV per cell; crystal system = tetragonal; ΔE to the lowest computed polymorph = 0.0 meV/atom
1.0
7.478 0.000 0.000
0.000 7.478 0.000
0.000 0.000 2.755
Hg H I O
1 1 2 1
direct
0.000 0.000 0.000
0.500 0.500 0.500
0.000 0.500 0.500
0.500 0.000 0.500
0.500 0.500 0.000